Record 1
CuAsBr2 (meta-GGA SCAN, single point on PBEsol structure); formation energy (no corrections) = 0.36 eV/atom; N(E_F) = 0.370 states/eV per atom
1.0
3.366 0.000 0.000
0.000 4.082 0.000
0.000 0.000 6.553
Cu As Br
1 1 2
Direct
0.000 0.000 0.000
0.500 0.000 0.500
0.000 0.500 0.500
0.500 0.500 0.000

Record 2
CuAsBr2 (meta-GGA SCAN, single point on PBEsol structure); formation energy (no corrections) = 0.27 eV/atom; N(E_F) = 0.381 states/eV per atom
1.0
3.748 -3.747 0.000
3.748 3.747 0.000
-0.013 0.000 3.233
Cu As Br
1 1 2
Direct
0.000 0.000 0.000
0.500 0.500 0.000
0.000 0.500 0.000
0.500 0.000 0.000

Record 3
CuAsBr (meta-GGA SCAN, single point on PBEsol structure); formation energy (no corrections) = 0.18 eV/atom; N(E_F) = 0.365 states/eV per atom
1.0
0.000 2.885 5.923
1.771 0.000 5.923
1.771 2.885 0.000
Cu As Br
1 1 1
Direct
0.000 0.000 0.000
0.634 0.634 0.366
0.364 0.364 0.636

- Look up the N(E_F) of the second one.
  0.381 states/eV per atom

- Look up the formation energy (no corrections) of the first one.
  0.36 eV/atom